{"formula": "Pm5Tl3In", "functional": "PBE", "state": "optimized geometry", "total_magnetization_mub_per_fu": 0.00, "spacegroup": "P6_3/mcm", "e_form_ev_per_fu": -3.35, "lattice_angstrom": [[-1.3449, -2.6794, -6.0495], [-8.4924, -3.0880, 3.2557], [0.7313, 8.6950, -4.0138]], "species": ["Pm", "Pm", "Pm", "Pm", "Pm", "Pm", "Pm", "Pm", "Pm", "Pm", "Tl", "Tl", "Tl", "Tl", "Tl", "Tl", "In", "In"], "frac_coords": [[0.0000, 0.6666, 0.3333], [0.5000, 0.3334, 0.6667], [0.0000, 0.3334, 0.6667], [0.5000, 0.6666, 0.3333], [0.7500, 0.7113, 0.7112], [0.7500, 0.0000, 0.2888], [0.7500, 0.2887, 0.0000], [0.2500, 0.2887, 0.2888], [0.2500, 0.0000, 0.7112], [0.2500, 0.7113, 0.0000], [0.7500, 0.3710, 0.3710], [0.7500, 0.0000, 0.6290], [0.7500, 0.6290, 0.0000], [0.2500, 0.6290, 0.6290], [0.2500, 0.0000, 0.3710], [0.2500, 0.3710, 0.0000], [0.0000, 0.0000, 0.0000], [0.5000, 0.0000, 0.0000]]}


{"formula": "Pm6TlIn6", "functional": "PBE", "state": "optimized geometry", "total_magnetization_mub_per_fu": 0.01, "spacegroup": "P6/mmm", "e_form_ev_per_fu": -4.30, "lattice_angstrom": [[-3.7415, 1.7752, 4.9653], [-2.5171, -3.3913, -4.8956], [2.4356, -9.2111, 5.1284]], "species": ["Pm", "Pm", "Pm", "Pm", "Pm", "Pm", "Tl", "In", "In", "In", "In", "In", "In"], "frac_coords": [[0.0000, 0.0000, 0.6922], [0.0000, 0.0000, 0.3078], [0.3334, 0.6666, 0.0000], [0.6666, 0.3334, 0.0000], [0.3334, 0.6666, 0.5000], [0.6666, 0.3334, 0.5000], [0.0000, 0.0000, 0.0000], [0.0000, 0.5000, 0.7489], [0.5000, 0.0000, 0.7489], [0.5000, 0.5000, 0.7489], [0.5000, 0.0000, 0.2511], [0.0000, 0.5000, 0.2511], [0.5000, 0.5000, 0.2511]]}


{"formula": "Pm5TlIn4", "functional": "PBE", "state": "optimized geometry", "total_magnetization_mub_per_fu": 0.00, "spacegroup": "P4/mmm", "e_form_ev_per_fu": -4.76, "lattice_angstrom": [[3.8544, 0.0000, 0.0000], [0.0000, 3.8544, 0.0000], [0.0000, 0.0000, 19.2744]], "species": ["Pm", "Pm", "Pm", "Pm", "Pm", "Tl", "In", "In", "In", "In"], "frac_coords": [[0.5000, 0.5000, 0.1019], [0.5000, 0.5000, 0.3013], [0.5000, 0.5000, 0.5000], [0.5000, 0.5000, 0.6987], [0.5000, 0.5000, 0.8981], [0.0000, 0.0000, 0.0000], [0.0000, 0.0000, 0.2015], [0.0000, 0.0000, 0.4006], [0.0000, 0.0000, 0.5994], [0.0000, 0.0000, 0.7985]]}


{"formula": "Pm2TlIn", "functional": "PBE", "state": "optimized geometry", "total_magnetization_mub_per_fu": 0.00, "e_above_lowest_polymorph_ev_per_atom": 0.0021, "spacegroup": "Cmmm", "e_form_ev_per_fu": -1.77, "lattice_angstrom": [[-0.4181, -3.6513, -0.1819], [2.7662, -0.0725, -4.9094], [4.3173, -0.6721, 3.5594]], "species": ["Pm", "Pm", "Tl", "In"], "frac_coords": [[0.0000, 0.0000, 0.5000], [0.0000, 0.5000, 0.0000], [0.5000, 0.5000, 0.5000], [0.5000, 0.0000, 0.0000]]}


{"formula": "Pm8TlIn2", "functional": "PBE", "state": "optimized geometry", "total_magnetization_mub_per_fu": 0.00, "e_above_lowest_polymorph_ev_per_atom": 0.0376, "spacegroup": "Immm", "e_form_ev_per_fu": -2.17, "lattice_angstrom": [[4.9880, 0.0003, -1.5139], [-1.0725, 7.9408, -3.5318], [0.0417, -0.7736, 9.1045]], "species": ["Pm", "Pm", "Pm", "Pm", "Pm", "Pm", "Pm", "Pm", "Tl", "In", "In"], "frac_coords": [[0.6589, 0.8801, 0.3178], [0.3411, 0.5623, 0.6821], [0.1415, 0.1415, 0.2830], [0.0000, 0.3113, 0.0000], [0.8585, 0.8585, 0.7170], [0.6589, 0.4377, 0.3179], [0.3411, 0.1199, 0.6822], [0.0000, 0.6887, 0.0000], [0.5000, 0.0000, 0.0000], [0.1936, 0.6940, 0.3879], [0.8064, 0.3060, 0.6121]]}


{"formula": "Pm4TlIn2", "functional": "PBE", "state": "optimized geometry", "total_magnetization_mub_per_fu": 0.00, "e_above_lowest_polymorph_ev_per_atom": 0.2450, "spacegroup": "I4/mmm", "e_form_ev_per_fu": -0.47, "lattice_angstrom": [[5.9467, 0.0000, 0.0000], [0.0000, 5.9467, 0.0000], [-2.9734, -2.9734, 6.5898]], "species": ["Pm", "Pm", "Pm", "Pm", "Tl", "In", "In"], "frac_coords": [[0.7500, 0.2500, 0.5000], [0.2500, 0.7500, 0.5000], [0.5000, 0.0000, 0.0000], [0.0000, 0.5000, 0.0000], [0.0000, 0.0000, 0.0000], [0.6240, 0.6240, 0.2480], [0.3760, 0.3760, 0.7520]]}


Copy entry 2 word for word.
{"formula": "Pm6TlIn6", "functional": "PBE", "state": "optimized geometry", "total_magnetization_mub_per_fu": 0.01, "spacegroup": "P6/mmm", "e_form_ev_per_fu": -4.30, "lattice_angstrom": [[-3.7415, 1.7752, 4.9653], [-2.5171, -3.3913, -4.8956], [2.4356, -9.2111, 5.1284]], "species": ["Pm", "Pm", "Pm", "Pm", "Pm", "Pm", "Tl", "In", "In", "In", "In", "In", "In"], "frac_coords": [[0.0000, 0.0000, 0.6922], [0.0000, 0.0000, 0.3078], [0.3334, 0.6666, 0.0000], [0.6666, 0.3334, 0.0000], [0.3334, 0.6666, 0.5000], [0.6666, 0.3334, 0.5000], [0.0000, 0.0000, 0.0000], [0.0000, 0.5000, 0.7489], [0.5000, 0.0000, 0.7489], [0.5000, 0.5000, 0.7489], [0.5000, 0.0000, 0.2511], [0.0000, 0.5000, 0.2511], [0.5000, 0.5000, 0.2511]]}